Below is a relaxed MnPtCl crystal, with properties calculated at the PBEsol level.

```
MnPtCl
1.0
0.0000 2.8597 2.8597
2.8597 0.0000 2.8597
2.8597 2.8597 0.0000
Mn Pt Cl
1 1 1
direct
0.0000 0.0000 0.0000
0.7500 0.7500 0.7500
0.2500 0.2500 0.2500
```

Results
E   -5.601 eV per atom
V   15.59 Å³ per atom
Energy relative to the elements, uncorrected   0.6433 eV/atom
Density of states at the Fermi level   1.5 states/eV/f.u.